1.
DFT (PBE-GGA) results for a relaxed structure of Th2ZrBi.

- formation enthalpy at 0 K (kJ/mol of formula units) = 67
- M_tot (μB per formula unit) = 0.0
- relative energy among the computed polymorphs (meV/atom) = 367
- DOS at the Fermi energy (states/eV/atom) = 1.788

Cell lengths 3.4233, 3.4233, 36.6357 Å; angles 90.00, 90.00, 120.00 degrees
Space group R-3m (No. 166, hexagonal axes)
Asymmetric unit:
1 Th 0.0000 0.0000 0.0911 (multiplicity 6)
2 Zr 0.0000 0.0000 0.5000 (multiplicity 3)
3 Bi 0.0000 0.0000 0.0000 (multiplicity 3)

2.
DFT (PBE-GGA) results for a relaxed structure of YZrIn2.

- formation enthalpy at 0 K (kJ/mol of formula units) = -141
- M_tot (μB per formula unit) = 0.4
- DOS at the Fermi energy (states/eV/atom) = 0.837

Cell lengths 3.2669, 4.3896, 6.7386 Å; angles 90.00, 90.00, 90.00 degrees
Space group Pmmm (No. 47)
Asymmetric unit:
1 Y 0.0000 0.0000 0.0000 (multiplicity 1)
2 Zr 0.0000 0.0000 0.5000 (multiplicity 1)
3 In 0.5000 0.5000 0.2653 (multiplicity 2)

Q: Which of these has the highest DOS at the Fermi energy?
A: Th2ZrBi

Q: The lowest DOS at the Fermi energy belongs to which entry?
A: YZrIn2

Q: The lowest M_tot belongs to which entry?
A: Th2ZrBi